Material: Pm5HgPb6
Method: DFT, PBE
State: relaxed

Summary:
Total DFT energy (no corrections): -4.329 eV per atom
Energy relative to the elements: -0.470 eV per atom

Cell: 4.935 9.408 15.229 Å, 90.00 90.00 90.00°
Space group Immm (No. 71)
One atom of each set of equivalent atoms:
Pm: 0.000 0.000 0.000 (multiplicity 2)
Pm: 0.000 0.000 0.359 (multiplicity 4)
Pm: 0.000 0.500 0.328 (multiplicity 4)
Hg: 0.000 0.500 0.000 (multiplicity 2)
Pb: 0.000 0.245 0.171 (multiplicity 8)
Pb: 0.000 0.265 0.500 (multiplicity 4)

---

Material: NaLaS2
Method: DFT, PBE
State: relaxed

Summary:
Total DFT energy (no corrections): -4.246 eV per atom
Uncorrected formation energy: -621 meV/atom

Cell: 4.5982 4.5982 23.6487 Å, 90.00 90.00 120.00°
Space group R-3m (No. 166, hexagonal axes)
One atom of each set of equivalent atoms:
Na: 0.0000 0.0000 0.0000 (multiplicity 3)
La: 0.0000 0.0000 0.5000 (multiplicity 3)
S: 0.0000 0.0000 0.3926 (multiplicity 6)

---

Material: Tb5CeTl3
Method: DFT, PBE
State: relaxed

Summary:
Total DFT energy (no corrections): -4.273 eV per atom
Energy relative to the elements: -0.252 eV per atom

Cell: 9.4292 9.4292 6.7260 Å, 90.00 90.00 120.00°
Space group P6_3/mcm (No. 193)
One atom of each set of equivalent atoms:
Tb: 0.0000 0.3254 0.2500 (multiplicity 6)
Tb: 0.3333 0.6667 0.0000 (multiplicity 4)
Ce: 0.0000 0.0000 0.0000 (multiplicity 2)
Tl: 0.0000 0.3416 0.7500 (multiplicity 6)

---

Material: Cs2InS
Method: DFT, PBE
State: relaxed

Summary:
Total DFT energy (no corrections): -2.507 eV per atom
Uncorrected formation energy: -363 meV/atom

Cell: 11.892 11.892 6.080 Å, 90.00 90.00 90.00°
Space group I-42d (No. 122)
One atom of each set of equivalent atoms:
Cs: 0.114 0.250 0.125 (multiplicity 8)
In: 0.000 0.000 0.500 (multiplicity 4)
S: 0.000 0.000 0.000 (multiplicity 4)

---

Material: TmTlHgPd
Method: DFT, PBE
State: relaxed

Summary:
Total DFT energy (no corrections): -3.480 eV per atom
Energy relative to the elements: -0.397 eV per atom

Cell: 7.057 7.057 7.057 Å, 90.00 90.00 90.00°
Space group F-43m (No. 216)
One atom of each set of equivalent atoms:
Tm: 0.000 0.000 0.000 (multiplicity 4)
Tl: 0.000 0.000 0.500 (multiplicity 4)
Hg: 0.250 0.250 0.250 (multiplicity 4)
Pd: 0.250 0.250 0.750 (multiplicity 4)

---

Material: AcHBrO2
Method: DFT, PBE
State: relaxed

Summary:
Total DFT energy (no corrections): -5.717 eV per atom

Cell: 5.998 4.153 7.120 Å, 90.00 91.44 90.00°
Space group P2_1/m (No. 11)
One atom of each set of equivalent atoms:
Ac: 0.247 0.250 0.171 (multiplicity 2)
H: 0.121 0.250 0.762 (multiplicity 2)
Br: 0.261 0.750 0.552 (multiplicity 2)
O: 0.012 0.250 0.862 (multiplicity 2)
O: 0.487 0.750 0.091 (multiplicity 2)

---

Material: La2Tb5NdDy
Method: DFT, PBE
State: relaxed

Summary:
Total DFT energy (no corrections): -4.464 eV per atom
Energy relative to the elements: 0.245 eV per atom

Cell: 8.647 8.647 16.037 Å, 90.00 90.00 90.00°
Space group I4/mcm (No. 140)
One atom of each set of equivalent atoms:
La: 0.119 0.381 0.000 (multiplicity 8)
Tb: 0.000 0.000 0.000 (multiplicity 4)
Tb: 0.214 0.286 0.358 (multiplicity 16)
Nd: 0.000 0.500 0.250 (multiplicity 4)
Dy: 0.000 0.000 0.250 (multiplicity 4)

---

Material: Cs2CaRe3O12
Method: DFT, PBE
State: relaxed

Summary:
Total DFT energy (no corrections): -7.421 eV per atom
Uncorrected formation energy: -1835 meV/atom

Cell: 7.4169 7.4169 19.3189 Å, 90.00 90.00 120.00°
Space group R-3m (No. 166, hexagonal axes)
One atom of each set of equivalent atoms:
Cs: 0.0000 0.0000 0.1233 (multiplicity 6)
Ca: 0.0000 0.0000 0.5000 (multiplicity 3)
Re: 0.0000 0.5000 0.0000 (multiplicity 9)
O: 0.0459 0.5230 0.0938 (multiplicity 18)
O: 0.0883 0.5442 0.3454 (multiplicity 18)